# 1
Here is LiScRh3 after structural relaxation from Alexandria via LeMat-Bulk. Energies are from GGA-PBEsol.

Summary:
Total magnetic moment   0.8 μB per cell
Space group   Pm-3m
V   98.0 Å³ per cell
ρ   6.111 g cm⁻³
Energy of formation from the pure elements   19.52 kcal/mol of atoms
Total energy   -5.7510 eV per atom

Lattice parameters (Å, degrees): 4.6103 4.6103 4.6103 90.00 90.00 90.00
Fractional coordinates of all 5 atoms:
1 Sc 0.0000 0.0000 0.0000
2 Rh 0.0000 0.5000 0.0000
3 Rh 0.0000 0.0000 0.5000
4 Rh 0.5000 0.0000 0.0000
5 Li 0.5000 0.5000 0.5000

# 2
Here is BeSbPd2 after structural relaxation from Alexandria via LeMat-Bulk. Energies are from GGA-PBEsol.

Summary:
Total magnetic moment   0.0 μB per cell
Space group   I-42d
Formation energy from raw total energies   -0.061 eV per atom
V   129.8 Å³ per cell
ρ   8.791 g cm⁻³
Total energy   -5.1797 eV per atom

Lattice parameters (Å, degrees): 3.9020 3.9020 8.9609 102.58 102.58 90.00
Fractional coordinates of all 8 atoms:
1 Sb 0.2500 0.7500 0.5000
2 Sb 0.0000 0.0000 0.0000
3 Pd 0.3927 0.8750 0.2500
4 Pd 0.8573 0.3750 0.2500
5 Pd 0.1250 0.1427 0.7500
6 Pd 0.6250 0.6073 0.7500
7 Be 0.7500 0.2500 0.5000
8 Be 0.5000 0.5000 0.0000

# 3
Here is Rb3HoV2O8 after structural relaxation from Alexandria via LeMat-Bulk. Energies are from GGA-PBEsol.

Summary:
Total magnetic moment   0.0 μB per cell
Space group   P-3m1
Formation energy from raw total energies   -2.585 eV per atom
V   239.6 Å³ per cell
ρ   4.512 g cm⁻³
Total energy   -7.5345 eV per atom

Lattice parameters (Å, degrees): 5.9611 5.9611 7.7871 90.00 90.00 120.00
Fractional coordinates of all 14 atoms:
1 Rb 0.6667 0.3333 0.3034
2 Rb 0.3333 0.6667 0.6966
3 Rb 0.0000 0.0000 0.0000
4 Ho 0.0000 0.0000 0.5000
5 V 0.6667 0.3333 0.7442
6 V 0.3333 0.6667 0.2558
7 O 0.6667 0.3333 0.9567
8 O 0.3333 0.6667 0.0433
9 O 0.8252 0.6504 0.6686
10 O 0.1748 0.3496 0.3314
11 O 0.8252 0.1748 0.6686
12 O 0.1748 0.8252 0.3314
13 O 0.3496 0.1748 0.6686
14 O 0.6504 0.8252 0.3314

# 4
Here is KSr2Cd2 after structural relaxation from Alexandria via LeMat-Bulk. Energies are from GGA-PBEsol.

Summary:
Total magnetic moment   0.0 μB per cell
Space group   P4/mbm
V   370.2 Å³ per cell
ρ   3.939 g cm⁻³
Energy of formation from the pure elements   -3.46 kcal/mol of atoms
Total energy   -1.5917 eV per atom

Lattice parameters (Å, degrees): 4.3665 9.2082 9.2082 90.00 90.00 90.00
Fractional coordinates of all 10 atoms:
1 Sr 0.5000 0.1621 0.6621
2 Sr 0.5000 0.6621 0.8379
3 Sr 0.5000 0.8379 0.3379
4 Sr 0.5000 0.3379 0.1621
5 K 0.0000 0.0000 0.0000
6 K 0.0000 0.5000 0.5000
7 Cd 0.0000 0.3764 0.8764
8 Cd 0.0000 0.8764 0.6236
9 Cd 0.0000 0.6236 0.1236
10 Cd 0.0000 0.1236 0.3764

# 5
Here is SrMnCu2 after structural relaxation from Alexandria via LeMat-Bulk. Energies are from GGA-PBEsol.

Summary:
Total magnetic moment   3.8 μB per cell
Space group   F-43m
V   70.5 Å³ per cell
ρ   6.351 g cm⁻³
Energy of formation from the pure elements   14.08 kcal/mol of atoms
Total energy   -4.4567 eV per atom

Lattice parameters (Å, degrees): 4.6370 4.6370 4.6370 60.00 60.00 60.00
Fractional coordinates of all 4 atoms:
1 Cu 0.0000 0.0000 0.0000
2 Cu 0.7500 0.7500 0.7500
3 Mn 0.5000 0.5000 0.5000
4 Sr 0.2500 0.2500 0.2500

# 6
Here is CoBiO3 after structural relaxation from Alexandria via LeMat-Bulk. Energies are from GGA-PBEsol.

Summary:
Total magnetic moment   0.0 μB per cell
Space group   Pnma
Formation energy from raw total energies   -1.094 eV per atom
V   215.4 Å³ per cell
ρ   9.741 g cm⁻³
Total energy   -6.6478 eV per atom

Lattice parameters (Å, degrees): 5.2800 5.4482 7.4880 90.00 90.00 90.00
Fractional coordinates of all 20 atoms:
1 Co 0.0000 0.0000 0.0000
2 Co 0.5000 0.5000 0.0000
3 Co 0.0000 0.0000 0.5000
4 Co 0.5000 0.5000 0.5000
5 Bi 0.5108 0.0556 0.2500
6 Bi 0.4892 0.9444 0.7500
7 Bi 0.0108 0.4444 0.7500
8 Bi 0.9892 0.5556 0.2500
9 O 0.7048 0.7921 0.0406
10 O 0.2952 0.2079 0.9594
11 O 0.2048 0.7079 0.9594
12 O 0.7952 0.2921 0.0406
13 O 0.2952 0.2079 0.5406
14 O 0.7048 0.7921 0.4594
15 O 0.7952 0.2921 0.4594
16 O 0.2048 0.7079 0.5406
17 O 0.0816 0.9753 0.2500
18 O 0.9184 0.0247 0.7500
19 O 0.4184 0.4753 0.2500
20 O 0.5816 0.5247 0.7500

Which of these has the lowest V? SrMnCu2